(1)
Entry from Alexandria via LeMat-Bulk: a relaxed structure of SbTeH2 (PBE).

## Properties
Its energy relative to the lowest polymorph listed for this composition is 0 meV/atom. The space-group type is P1, No. 1. The calculation puts the calculated density at 4.59 g cm⁻³. The value obtained for the total moment is 0.0 μB per cell. The density of states at the Fermi level comes out at 0.9 states/eV/cell. As for the total DFT energy (no corrections): -3.2246 eV per atom.

Unit cell a=4.429 b=4.708 c=4.728 alpha=67.39 beta=89.55 gamma=88.82
Sites, in units of the cell vectors:
Sb 0.000 0.000 0.000
Te 0.735 0.505 0.501
H 0.261 0.161 0.163
H 0.265 0.831 0.838


(2)
Entry from Alexandria via LeMat-Bulk: a relaxed structure of SbTe3H (PBE).

## Properties
Its energy relative to the lowest polymorph listed for this composition is 353 meV/atom. The space-group type is Pm-3m, No. 221. The calculation puts the calculated density at 4.28 g cm⁻³. The value obtained for the total moment is 0.6 μB per cell. The density of states at the Fermi level comes out at 7.0 states/eV/cell. As for the total DFT energy (no corrections): -2.4585 eV per atom.

Unit cell a=5.812 b=5.812 c=5.812 alpha=90.00 beta=90.00 gamma=90.00
Sites, in units of the cell vectors:
Sb 0.000 0.000 0.000
Te 0.000 0.000 0.500
Te 0.000 0.500 0.000
Te 0.500 0.000 0.000
H 0.500 0.500 0.500


(3)
Entry from Alexandria via LeMat-Bulk: a relaxed structure of SbTeH2 (PBE).

## Properties
Its energy relative to the lowest polymorph listed for this composition is 487 meV/atom. The space-group type is Fm-3m, No. 225. The calculation puts the calculated density at 6.89 g cm⁻³. The value obtained for the total moment is 0.0 μB per cell. The density of states at the Fermi level comes out at 4.9 states/eV/cell. As for the total DFT energy (no corrections): -2.7373 eV per atom.

Unit cell a=6.233 b=6.233 c=6.233 alpha=90.00 beta=90.00 gamma=90.00
Sites, in units of the cell vectors:
Sb 0.000 0.000 0.000
Sb 0.000 0.500 0.500
Sb 0.500 0.000 0.500
Sb 0.500 0.500 0.000
Te 0.000 0.000 0.500
Te 0.000 0.500 0.000
Te 0.500 0.000 0.000
Te 0.500 0.500 0.500
H 0.250 0.250 0.250
H 0.250 0.250 0.750
H 0.250 0.750 0.250
H 0.250 0.750 0.750
H 0.750 0.250 0.250
H 0.750 0.250 0.750
H 0.750 0.750 0.250
H 0.750 0.750 0.750


(4)
Entry from Alexandria via LeMat-Bulk: a relaxed structure of Sb2TeH (PBE).

## Properties
Its energy relative to the lowest polymorph listed for this composition is 184 meV/atom. The space-group type is Fm-3m, No. 225. The calculation puts the calculated density at 6.55 g cm⁻³. The value obtained for the total moment is 0.0 μB per cell. The density of states at the Fermi level comes out at 6.1 states/eV/cell. As for the total DFT energy (no corrections): -3.0502 eV per atom.

Unit cell a=7.226 b=7.226 c=7.226 alpha=90.00 beta=90.00 gamma=90.00
Sites, in units of the cell vectors:
Sb 0.250 0.250 0.250
Sb 0.250 0.250 0.750
Sb 0.250 0.750 0.250
Sb 0.250 0.750 0.750
Sb 0.750 0.250 0.250
Sb 0.750 0.250 0.750
Sb 0.750 0.750 0.250
Sb 0.750 0.750 0.750
Te 0.000 0.000 0.000
Te 0.000 0.500 0.500
Te 0.500 0.000 0.500
Te 0.500 0.500 0.000
H 0.000 0.000 0.500
H 0.000 0.500 0.000
H 0.500 0.000 0.000
H 0.500 0.500 0.500


> Which value of energy relative to the lowest polymorph listed for this composition does entry 4 give?

184 meV/atom